Compound: TlCr2AgF8
Source: the Alexandria database
Functional: PBE with a Hubbard U
Structure: optimized geometry

Structure (extended XYZ):
```
12
Lattice="6.0896 0.0000 0.0000 -3.0448 5.2737 0.0000 0.0000 0.0000 6.2450" Properties=species:S:1:pos:R:3 pbc="T T T"
F 3.8864 0.4120 5.4041
F 3.0448 1.7579 2.1468
F -0.8416 4.8617 0.8409
F 3.7895 3.1597 5.4041
F 1.4584 1.7020 5.4041
F 1.5864 3.5718 0.8409
F -0.7447 2.1140 0.8409
F 0.0000 3.5158 4.0982
Tl 0.0000 0.0000 3.1225
Ag 0.0000 0.0000 0.0000
Cr 0.0000 3.5158 5.9897
Cr 3.0448 1.7579 0.2553
```

Calculated values
total magnetization = 0.500 μB per atom
mass density = 4.7 Mg/m³
Fermi-level density of states = 0.00 states/eV per atom
VASP energy = -4.9601 eV per atom